No. 1
First-principles (GGA-PBEsol) data for crystalline NaAgTe2N at its relaxed geometry, as listed in Alexandria via LeMat-Bulk.

Structure (CIF):
```
data_NaAgTe2N
_symmetry_space_group_name_H-M 'P 4/m m m'
_symmetry_Int_Tables_number 123
_symmetry_space_group_name_Hall '-P 4 2'
_cell_length_a 5.4662
_cell_length_b 5.4662
_cell_length_c 4.2000
_cell_angle_alpha 90.00
_cell_angle_beta 90.00
_cell_angle_gamma 90.00
loop_
_atom_site_label
_atom_site_type_symbol
_atom_site_fract_x
_atom_site_fract_y
_atom_site_fract_z
Na1 Na 0.0000 0.0000 0.0000
Ag1 Ag 0.5000 0.5000 0.5000
Te1 Te 0.0000 0.5000 0.0000
N1 N 0.0000 0.0000 0.5000
```

- M_tot: 2.681 μB per formula unit
- ΔE_f (raw): 1.288 eV/atom
- VASP energy: -13.85 eV/cell

***

No. 2
First-principles (GGA-PBEsol) data for crystalline Ni3AgN at its relaxed geometry, as listed in Alexandria via LeMat-Bulk.

Structure (CIF):
```
data_Ni3AgN
_symmetry_space_group_name_H-M 'P m -3 m'
_symmetry_Int_Tables_number 221
_symmetry_space_group_name_Hall '-P 4 2 3'
_cell_length_a 3.7618
_cell_length_b 3.7618
_cell_length_c 3.7618
_cell_angle_alpha 90.00
_cell_angle_beta 90.00
_cell_angle_gamma 90.00
loop_
_atom_site_label
_atom_site_type_symbol
_atom_site_fract_x
_atom_site_fract_y
_atom_site_fract_z
Ni1 Ni 0.0000 0.0000 0.5000
Ag1 Ag 0.5000 0.5000 0.5000
N1 N 0.0000 0.0000 0.0000
```

- M_tot: 0.033 μB per formula unit
- ΔE_f (raw): -0.062 eV/atom
- VASP energy: -30.62 eV/cell

***

No. 3
First-principles (GGA-PBEsol) data for crystalline NiAgSn2N at its relaxed geometry, as listed in Alexandria via LeMat-Bulk.

Structure (CIF):
```
data_NiAgSn2N
_symmetry_space_group_name_H-M 'P 4/m m m'
_symmetry_Int_Tables_number 123
_symmetry_space_group_name_Hall '-P 4 2'
_cell_length_a 5.2501
_cell_length_b 5.2501
_cell_length_c 3.3292
_cell_angle_alpha 90.00
_cell_angle_beta 90.00
_cell_angle_gamma 90.00
loop_
_atom_site_label
_atom_site_type_symbol
_atom_site_fract_x
_atom_site_fract_y
_atom_site_fract_z
Ni1 Ni 0.0000 0.0000 0.0000
Ag1 Ag 0.5000 0.5000 0.5000
Sn1 Sn 0.0000 0.5000 0.0000
N1 N 0.0000 0.0000 0.5000
```

- M_tot: 0.000 μB per formula unit
- ΔE_f (raw): 0.239 eV/atom
- VASP energy: -25.32 eV/cell

***

No. 4
First-principles (GGA-PBEsol) data for crystalline RbAgN2O at its relaxed geometry, as listed in Alexandria via LeMat-Bulk.

Structure (CIF):
```
data_RbAgN2O
_symmetry_space_group_name_H-M 'P 4/m m m'
_symmetry_Int_Tables_number 123
_symmetry_space_group_name_Hall '-P 4 2'
_cell_length_a 4.1957
_cell_length_b 4.1957
_cell_length_c 4.3283
_cell_angle_alpha 90.00
_cell_angle_beta 90.00
_cell_angle_gamma 90.00
loop_
_atom_site_label
_atom_site_type_symbol
_atom_site_fract_x
_atom_site_fract_y
_atom_site_fract_z
Rb1 Rb 0.0000 0.0000 0.0000
Ag1 Ag 0.5000 0.5000 0.5000
N1 N 0.0000 0.5000 0.5000
O1 O 0.5000 0.5000 0.0000
```

- M_tot: 3.787 μB per formula unit
- ΔE_f (raw): 1.214 eV/atom
- VASP energy: -20.57 eV/cell

***

No. 5
First-principles (GGA-PBEsol) data for crystalline AgRuN2O at its relaxed geometry, as listed in Alexandria via LeMat-Bulk.

Structure (CIF):
```
data_AgRuN2O
_symmetry_space_group_name_H-M 'P 4/m m m'
_symmetry_Int_Tables_number 123
_symmetry_space_group_name_Hall '-P 4 2'
_cell_length_a 3.7769
_cell_length_b 3.7769
_cell_length_c 3.9435
_cell_angle_alpha 90.00
_cell_angle_beta 90.00
_cell_angle_gamma 90.00
loop_
_atom_site_label
_atom_site_type_symbol
_atom_site_fract_x
_atom_site_fract_y
_atom_site_fract_z
Ag1 Ag 0.0000 0.0000 0.0000
Ru1 Ru 0.5000 0.5000 0.5000
N1 N 0.0000 0.5000 0.5000
O1 O 0.5000 0.5000 0.0000
```

- M_tot: 0.000 μB per formula unit
- ΔE_f (raw): 0.627 eV/atom
- VASP energy: -32.65 eV/cell

***

No. 6
First-principles (GGA-PBEsol) data for crystalline AgOs3N at its relaxed geometry, as listed in Alexandria via LeMat-Bulk.

Structure (CIF):
```
data_AgOs3N
_symmetry_space_group_name_H-M 'P m -3 m'
_symmetry_Int_Tables_number 221
_symmetry_space_group_name_Hall '-P 4 2 3'
_cell_length_a 4.0461
_cell_length_b 4.0461
_cell_length_c 4.0461
_cell_angle_alpha 90.00
_cell_angle_beta 90.00
_cell_angle_gamma 90.00
loop_
_atom_site_label
_atom_site_type_symbol
_atom_site_fract_x
_atom_site_fract_y
_atom_site_fract_z
Ag1 Ag 0.0000 0.0000 0.0000
Os1 Os 0.0000 0.5000 0.5000
N1 N 0.5000 0.5000 0.5000
```

- M_tot: 1.411 μB per formula unit
- ΔE_f (raw): 0.821 eV/atom
- VASP energy: -44.38 eV/cell

***

No. 7
First-principles (GGA-PBEsol) data for crystalline AgOsSeN2 at its relaxed geometry, as listed in Alexandria via LeMat-Bulk.

Structure (CIF):
```
data_AgOsSeN2
_symmetry_space_group_name_H-M 'P 4/m m m'
_symmetry_Int_Tables_number 123
_symmetry_space_group_name_Hall '-P 4 2'
_cell_length_a 3.7592
_cell_length_b 3.7592
_cell_length_c 5.4476
_cell_angle_alpha 90.00
_cell_angle_beta 90.00
_cell_angle_gamma 90.00
loop_
_atom_site_label
_atom_site_type_symbol
_atom_site_fract_x
_atom_site_fract_y
_atom_site_fract_z
Ag1 Ag 0.0000 0.0000 0.0000
Os1 Os 0.5000 0.5000 0.5000
Se1 Se 0.5000 0.5000 0.0000
N1 N 0.0000 0.5000 0.5000
```

- M_tot: 0.000 μB per formula unit
- ΔE_f (raw): 0.531 eV/atom
- VASP energy: -33.78 eV/cell

***

No. 8
First-principles (GGA-PBEsol) data for crystalline AgTeOsN2 at its relaxed geometry, as listed in Alexandria via LeMat-Bulk.

Structure (CIF):
```
data_AgTeOsN2
_symmetry_space_group_name_H-M 'P 4/m m m'
_symmetry_Int_Tables_number 123
_symmetry_space_group_name_Hall '-P 4 2'
_cell_length_a 3.8548
_cell_length_b 3.8548
_cell_length_c 6.2054
_cell_angle_alpha 90.00
_cell_angle_beta 90.00
_cell_angle_gamma 90.00
loop_
_atom_site_label
_atom_site_type_symbol
_atom_site_fract_x
_atom_site_fract_y
_atom_site_fract_z
Ag1 Ag 0.0000 0.0000 0.0000
Te1 Te 0.0000 0.0000 0.5000
Os1 Os 0.5000 0.5000 0.5000
N1 N 0.0000 0.5000 0.0000
```

- M_tot: 4.105 μB per formula unit
- ΔE_f (raw): 2.427 eV/atom
- VASP energy: -23.97 eV/cell

***

No. 9
First-principles (GGA-PBEsol) data for crystalline AgPN3 at its relaxed geometry, as listed in Alexandria via LeMat-Bulk.

Structure (CIF):
```
data_AgPN3
_symmetry_space_group_name_H-M 'P m -3 m'
_symmetry_Int_Tables_number 221
_symmetry_space_group_name_Hall '-P 4 2 3'
_cell_length_a 3.9753
_cell_length_b 3.9753
_cell_length_c 3.9753
_cell_angle_alpha 90.00
_cell_angle_beta 90.00
_cell_angle_gamma 90.00
loop_
_atom_site_label
_atom_site_type_symbol
_atom_site_fract_x
_atom_site_fract_y
_atom_site_fract_z
Ag1 Ag 0.0000 0.0000 0.0000
P1 P 0.5000 0.5000 0.5000
N1 N 0.0000 0.0000 0.5000
```

- M_tot: 2.300 μB per formula unit
- ΔE_f (raw): 2.597 eV/atom
- VASP energy: -21.70 eV/cell

***

No. 10
First-principles (GGA-PBEsol) data for crystalline AgPSN2 at its relaxed geometry, as listed in Alexandria via LeMat-Bulk.

Structure (CIF):
```
data_AgPSN2
_symmetry_space_group_name_H-M 'P 4/m m m'
_symmetry_Int_Tables_number 123
_symmetry_space_group_name_Hall '-P 4 2'
_cell_length_a 3.3620
_cell_length_b 3.3620
_cell_length_c 5.5726
_cell_angle_alpha 90.00
_cell_angle_beta 90.00
_cell_angle_gamma 90.00
loop_
_atom_site_label
_atom_site_type_symbol
_atom_site_fract_x
_atom_site_fract_y
_atom_site_fract_z
Ag1 Ag 0.0000 0.0000 0.0000
P1 P 0.5000 0.5000 0.5000
S1 S 0.5000 0.5000 0.0000
N1 N 0.0000 0.5000 0.5000
```

- M_tot: 0.009 μB per formula unit
- ΔE_f (raw): 0.625 eV/atom
- VASP energy: -27.41 eV/cell

***

No. 11
First-principles (GGA-PBEsol) data for crystalline AgPbN2 at its relaxed geometry, as listed in Alexandria via LeMat-Bulk.

Structure (CIF):
```
data_AgPbN2
_symmetry_space_group_name_H-M 'R -3 m'
_symmetry_Int_Tables_number 166
_symmetry_space_group_name_Hall '-R 3 2"'
_cell_length_a 3.2700
_cell_length_b 3.2700
_cell_length_c 19.8570
_cell_angle_alpha 90.00
_cell_angle_beta 90.00
_cell_angle_gamma 120.00
loop_
_atom_site_label
_atom_site_type_symbol
_atom_site_fract_x
_atom_site_fract_y
_atom_site_fract_z
Ag1 Ag 0.0000 0.0000 0.0000
Pb1 Pb 0.0000 0.0000 0.5000
N1 N 0.0000 0.0000 0.3816
```

- M_tot: 0.000 μB per formula unit
- ΔE_f (raw): 1.280 eV/atom
- VASP energy: -57.73 eV/cell

***

No. 12
First-principles (GGA-PBEsol) data for crystalline AgPbSN2 at its relaxed geometry, as listed in Alexandria via LeMat-Bulk.

Structure (CIF):
```
data_AgPbSN2
_symmetry_space_group_name_H-M 'P 4/m m m'
_symmetry_Int_Tables_number 123
_symmetry_space_group_name_Hall '-P 4 2'
_cell_length_a 4.1589
_cell_length_b 4.1589
_cell_length_c 4.9831
_cell_angle_alpha 90.00
_cell_angle_beta 90.00
_cell_angle_gamma 90.00
loop_
_atom_site_label
_atom_site_type_symbol
_atom_site_fract_x
_atom_site_fract_y
_atom_site_fract_z
Ag1 Ag 0.0000 0.0000 0.0000
Pb1 Pb 0.5000 0.5000 0.5000
S1 S 0.0000 0.0000 0.5000
N1 N 0.0000 0.5000 0.0000
```

- M_tot: 3.062 μB per formula unit
- ΔE_f (raw): 1.372 eV/atom
- VASP energy: -21.89 eV/cell